[1]
Here is a relaxed structure of Na2Dy2IO6 from Alexandria. Energies are from GGA-PBE.

Lattice parameters (Å, degrees): 6.1067 6.1067 5.8284 97.60 97.60 122.06
With the nearest neighbours (Å) after each atom.
Element x y z (fractional)
1 I 0.0000 0.0000 0.5000  2 O 2.11
2 Dy 0.3344 0.6656 0.5000  6 O 2.23-2.35
3 Dy 0.6656 0.3344 0.5000  6 O 2.23-2.35
4 O 0.7425 0.7425 0.6885  1 I 2.11, 2 Dy 2.35
5 O 0.3975 0.0383 0.7039  2 Dy 2.23-2.30, 1 Na 2.43, 1 I 2.43
6 O 0.9617 0.6025 0.2961  2 Dy 2.23-2.30, 1 Na 2.43, 1 I 2.43
7 O 0.2575 0.2575 0.3115  1 I 2.11, 2 Dy 2.35
8 O 0.0383 0.3975 0.7039  2 Dy 2.23-2.30, 1 Na 2.43, 1 I 2.43
9 O 0.6025 0.9617 0.2961  2 Dy 2.23-2.30, 1 Na 2.43, 1 I 2.43
10 Na 0.1622 0.8378 0.0000  6 O 2.43-2.67
11 Na 0.8378 0.1622 0.0000  6 O 2.43-2.67

Output
The uncorrected formation energy comes out at -1.96 eV per atom. As for the energy: -0.2162 Ha/atom. The value obtained for the density of states at the Fermi level is 0.3 states/eV/cell. The space-group type is C2/m (12).

***

[2]
Here is a relaxed structure of Na2DyIO6 from Alexandria. Energies are from GGA-PBE.

Lattice parameters (Å, degrees): 5.6463 5.7396 8.0485 90.00 90.11 90.00
With the nearest neighbours (Å) after each atom.
Element x y z (fractional)
1 I 0.0000 0.5000 0.0000  6 O 1.90
2 I 0.5000 0.0000 0.5000  6 O 1.90
3 O 0.0861 0.4735 0.7725  1 I 1.90
4 O 0.7703 0.8118 0.5419  1 I 1.90
5 O 0.4139 0.9735 0.7275  1 I 1.90
6 O 0.7297 0.3118 0.9581  1 I 1.90
7 O 0.6822 0.2705 0.5478  1 I 1.90
8 O 0.2703 0.6882 0.0419  1 I 1.90
9 O 0.1822 0.2295 0.0478  1 I 1.90
10 O 0.3177 0.7295 0.4522  1 I 1.90
11 O 0.9139 0.5265 0.2275  1 I 1.90
12 O 0.5861 0.0265 0.2725  1 I 1.90
13 O 0.8178 0.7705 0.9522  1 I 1.90
14 O 0.2297 0.1882 0.4581  1 I 1.90
15 Na 0.9926 0.0336 0.7491  4 O 2.41-2.59
16 Na 0.4926 0.4664 0.2491  4 O 2.41-2.59
17 Na 0.0074 0.9664 0.2509  4 O 2.41-2.59
18 Na 0.5074 0.5336 0.7509  4 O 2.41-2.59
19 Dy 0.0000 0.5000 0.5000  6 O 2.24-2.26
20 Dy 0.5000 0.0000 0.0000  6 O 2.24-2.26

Output
The uncorrected formation energy comes out at -1.67 eV per atom. As for the energy: -0.2030 Ha/atom. The value obtained for the density of states at the Fermi level is 0.0 states/eV/cell. The space-group type is P2_1/c (14).

***

[3]
Here is a relaxed structure of NaDyPbI6 from Alexandria. Energies are from GGA-PBE.

Lattice parameters (Å, degrees): 7.9589 7.9589 14.4299 90.00 90.00 120.00
With the nearest neighbours (Å) after each atom.
Element x y z (fractional)
1 I 0.3583 0.0203 0.1269  1 Dy 3.04, 1 Pb 3.25, 1 Na 3.32
2 I 0.9797 0.6417 0.3731  1 Dy 3.04, 1 Pb 3.25, 1 Na 3.32
3 I 0.3380 0.3583 0.8731  1 Dy 3.04, 1 Pb 3.25, 1 Na 3.32
4 I 0.3583 0.3380 0.3731  1 Dy 3.04, 1 Pb 3.25, 1 Na 3.32
5 I 0.3380 0.9797 0.6269  1 Dy 3.04, 1 Pb 3.25, 1 Na 3.32
6 I 0.9797 0.3380 0.1269  1 Dy 3.04, 1 Pb 3.25, 1 Na 3.32
7 I 0.0203 0.6620 0.8731  1 Dy 3.04, 1 Pb 3.25, 1 Na 3.32
8 I 0.6417 0.9797 0.8731  1 Dy 3.04, 1 Pb 3.25, 1 Na 3.32
9 I 0.6417 0.6620 0.6269  1 Dy 3.04, 1 Pb 3.25, 1 Na 3.32
10 I 0.6620 0.0203 0.3731  1 Dy 3.04, 1 Pb 3.25, 1 Na 3.32
11 I 0.0203 0.3583 0.6269  1 Dy 3.04, 1 Pb 3.25, 1 Na 3.32
12 I 0.6620 0.6417 0.1269  1 Dy 3.04, 1 Pb 3.25, 1 Na 3.32
13 Pb 0.6667 0.3333 0.7500  6 I 3.25
14 Pb 0.3333 0.6667 0.2500  6 I 3.25
15 Dy 0.6667 0.3333 0.2500  6 I 3.04
16 Dy 0.3333 0.6667 0.7500  6 I 3.04
17 Na 0.0000 0.0000 0.0000  6 I 3.32
18 Na 0.0000 0.0000 0.5000  6 I 3.32

Output
The uncorrected formation energy comes out at -1.10 eV per atom. As for the energy: -0.1178 Ha/atom. The value obtained for the density of states at the Fermi level is 0.0 states/eV/cell. The space-group type is P-31c (163).

***

[4]
Here is a relaxed structure of Na2DyTlI6 from Alexandria. Energies are from GGA-PBE.

Lattice parameters (Å, degrees): 8.1384 8.1385 8.8268 62.54 62.53 59.96
With the nearest neighbours (Å) after each atom.
Element x y z (fractional)
1 I 0.1341 0.3819 0.7626  1 Dy 3.06, 2 Na 3.21-3.33
2 I 0.3817 0.7214 0.7625  1 Dy 3.06, 2 Na 3.21-3.33
3 I 0.2467 0.9430 0.2367  1 Dy 3.05, 2 Na 3.27-3.29
4 I 0.7217 0.1338 0.7626  1 Dy 3.06, 2 Na 3.21-3.33
5 I 0.9429 0.5737 0.2367  1 Dy 3.05, 2 Na 3.26-3.30
6 I 0.5733 0.2468 0.2368  1 Dy 3.05, 2 Na 3.27-3.29
7 Na 0.5158 0.5154 0.4534  6 I 3.26-3.33
8 Na 0.0028 0.0028 0.9924  6 I 3.21-3.30
9 Tl 0.8149 0.8151 0.5545  6 I 3.44-3.63
10 Dy 0.3277 0.3276 0.0170  6 I 3.05-3.06

Output
The uncorrected formation energy comes out at -1.18 eV per atom. As for the energy: -0.1129 Ha/atom. The value obtained for the density of states at the Fermi level is 0.0 states/eV/cell. The space-group type is R3 (146).

***

[5]
Here is a relaxed structure of Dy2NbI from Alexandria. Energies are from GGA-PBE.

Lattice parameters (Å, degrees): 3.4490 3.4490 11.0024 80.98 80.98 60.00
With the nearest neighbours (Å) after each atom.
Element x y z (fractional)
1 Nb 0.0000 0.0000 0.0000  2 Dy 2.88
2 Dy 0.0888 0.0888 0.7336  1 Nb 2.88, 3 I 3.22
3 Dy 0.9112 0.9112 0.2664  1 Nb 2.88, 3 I 3.22
4 I 0.5000 0.5000 0.5000  6 Dy 3.22, 6 I 3.45

Output
The uncorrected formation energy comes out at 0.40 eV per atom. As for the energy: -0.1767 Ha/atom. The value obtained for the density of states at the Fermi level is 5.7 states/eV/cell. The space-group type is R-3m (166).

***

[6]
Here is a relaxed structure of DyNbI from Alexandria. Energies are from GGA-PBE.

Lattice parameters (Å, degrees): 3.3261 3.4075 19.0051 95.14 58.55 90.00
With the nearest neighbours (Å) after each atom.
Element x y z (fractional)
1 Dy 0.5333 0.9524 0.9047  2 Nb 3.02-3.03, 2 Dy 3.33
2 Dy 0.4667 0.0476 0.0953  2 Nb 3.02-3.03, 2 Dy 3.33
3 Nb 0.4998 0.1260 0.2520  2 I 2.75, 2 Dy 3.02-3.03
4 Nb 0.5002 0.8740 0.7480  2 I 2.75, 2 Dy 3.02-3.03
5 I 0.0988 0.6930 0.3861  2 Nb 2.75
6 I 0.9012 0.3070 0.6139  2 Nb 2.75

Output
The uncorrected formation energy comes out at 0.51 eV per atom. As for the energy: -0.1801 Ha/atom. The value obtained for the density of states at the Fermi level is 6.3 states/eV/cell. The space-group type is C2/m (12).

***

[7]
Here is a relaxed structure of NdDy2I from Alexandria. Energies are from GGA-PBE.

Lattice parameters (Å, degrees): 3.6083 3.6083 11.9716 81.33 81.33 60.00
With the nearest neighbours (Å) after each atom.
Element x y z (fractional)
1 I 0.5000 0.5000 0.5000  6 Dy 3.25, 6 I 3.61
2 Nd 0.0000 0.0000 0.0000  2 Dy 3.40, 6 Nd 3.61
3 Dy 0.9037 0.9037 0.2888  3 I 3.25, 1 Nd 3.40, 6 Dy 3.61
4 Dy 0.0963 0.0963 0.7112  3 I 3.25, 1 Nd 3.40, 6 Dy 3.61

Output
The calculation puts the energy above the most stable polymorph in this dataset at 276.4 meV/atom. The uncorrected formation energy comes out at -0.04 eV per atom. As for the energy: -0.1442 Ha/atom. The value obtained for the density of states at the Fermi level is 7.9 states/eV/cell. The space-group type is R-3m (166).

***

[8]
Here is a relaxed structure of NdDy2I from Alexandria. Energies are from GGA-PBE.

Lattice parameters (Å, degrees): 3.7768 3.7768 10.7945 79.92 79.92 60.00
With the nearest neighbours (Å) after each atom.
Element x y z (fractional)
1 Dy 0.0774 0.0774 0.7677  3 I 3.29, 3 Nd 3.57
2 Dy 0.2561 0.2561 0.2317  3 I 3.28, 3 Nd 3.58
3 I 0.6666 0.6666 0.0001  6 Dy 3.28-3.29
4 Nd 0.4998 0.4998 0.5006  6 Dy 3.57-3.58, 6 Nd 3.78

Output
The calculation puts the energy above the most stable polymorph in this dataset at 0.0 meV/atom. The uncorrected formation energy comes out at -0.32 eV per atom. As for the energy: -0.1543 Ha/atom. The value obtained for the density of states at the Fermi level is 5.8 states/eV/cell. The space-group type is R3m (160).

***

[9]
Here is a relaxed structure of NdDy2I8 from Alexandria. Energies are from GGA-PBE.

Lattice parameters (Å, degrees): 7.4212 10.2208 10.2208 53.69 92.56 92.56
With the nearest neighbours (Å) after each atom.
Element x y z (fractional)
1 I 0.3078 0.2987 0.2987  1 Dy 2.83
2 I 0.2060 0.8495 0.8495  1 Dy 2.95, 1 Nd 3.21
3 I 0.2535 0.3168 0.8167  1 Dy 2.93, 1 Nd 3.18
4 I 0.7465 0.6832 0.1833  1 Dy 2.93, 1 Nd 3.18
5 I 0.6922 0.7013 0.7013  1 Dy 2.83
6 I 0.2535 0.8167 0.3168  1 Dy 2.93, 1 Nd 3.18
7 I 0.7465 0.1833 0.6832  1 Dy 2.93, 1 Nd 3.18
8 I 0.7940 0.1505 0.1505  1 Dy 2.95, 1 Nd 3.21
9 Nd 0.0000 0.0000 0.0000  6 I 3.18-3.21
10 Dy 0.3958 0.1496 0.1496  4 I 2.83-2.95
11 Dy 0.6042 0.8504 0.8504  4 I 2.83-2.95

Output
The uncorrected formation energy comes out at -1.23 eV per atom. As for the energy: -0.1332 Ha/atom. The value obtained for the density of states at the Fermi level is 0.3 states/eV/cell. The space-group type is C2/m (12).

***

[10]
Here is a relaxed structure of NdDyI6 from Alexandria. Energies are from GGA-PBE.

Lattice parameters (Å, degrees): 8.1958 8.1958 7.5823 98.29 98.29 124.89
With the nearest neighbours (Å) after each atom.
Element x y z (fractional)
1 I 0.2469 0.2469 0.7536  1 Dy 3.03, 1 Nd 3.11
2 I 0.7531 0.7531 0.2464  1 Dy 3.03, 1 Nd 3.11
3 I 0.0945 0.3902 0.2429  1 Dy 3.05, 1 Nd 3.14
4 I 0.6098 0.9055 0.7571  1 Dy 3.05, 1 Nd 3.14
5 I 0.3902 0.0945 0.2429  1 Dy 3.05, 1 Nd 3.14
6 I 0.9055 0.6098 0.7571  1 Dy 3.05, 1 Nd 3.14
7 Nd 0.5000 0.5000 0.5000  6 I 3.11-3.14
8 Dy 0.0000 0.0000 0.0000  6 I 3.03-3.05

Output
The calculation puts the energy above the most stable polymorph in this dataset at 0.0 meV/atom. The uncorrected formation energy comes out at -1.36 eV per atom. As for the energy: -0.1358 Ha/atom. The value obtained for the density of states at the Fermi level is 0.0 states/eV/cell. The space-group type is C2/m (12).

***

[11]
Here is a relaxed structure of Nd2DyI from Alexandria. Energies are from GGA-PBE.

Lattice parameters (Å, degrees): 3.7068 3.7068 9.7281 90.00 90.00 90.00
With the nearest neighbours (Å) after each atom.
Element x y z (fractional)
1 I 0.5000 0.5000 0.5000  8 Nd 3.53, 4 I 3.71
2 Nd 0.0000 0.0000 0.7425  4 I 3.53, 4 Dy 3.63, 4 Nd 3.71
3 Nd 0.0000 0.0000 0.2575  4 I 3.53, 4 Dy 3.63, 4 Nd 3.71
4 Dy 0.5000 0.5000 0.0000  8 Nd 3.63, 4 Dy 3.71

Output
The calculation puts the energy above the most stable polymorph in this dataset at 45.0 meV/atom. The uncorrected formation energy comes out at -0.34 eV per atom. As for the energy: -0.1568 Ha/atom. The value obtained for the density of states at the Fermi level is 3.8 states/eV/cell. The space-group type is P4/mmm (123).

***

[12]
Here is a relaxed structure of NdDyI4 from Alexandria. Energies are from GGA-PBE.

Lattice parameters (Å, degrees): 4.1763 8.3559 7.2746 106.44 90.00 90.00
With the nearest neighbours (Å) after each atom.
Element x y z (fractional)
1 Dy 0.0000 0.5000 0.5000  6 I 3.09-3.10
2 I 0.0000 0.2469 0.7402  1 Dy 3.10, 2 Nd 3.18
3 I 0.0000 0.7531 0.2598  1 Dy 3.10, 2 Nd 3.18
4 I 0.5000 0.2542 0.2619  2 Dy 3.09, 1 Nd 3.17
5 I 0.5000 0.7458 0.7381  2 Dy 3.09, 1 Nd 3.17
6 Nd 0.5000 0.5000 0.0000  6 I 3.17-3.18

Output
The uncorrected formation energy comes out at -1.25 eV per atom. As for the energy: -0.1412 Ha/atom. The value obtained for the density of states at the Fermi level is 3.4 states/eV/cell. The space-group type is P2/m (10).